Below is a geometry-optimized CdH6C8I4N4 structure, with properties calculated at the GGA-PBE level.

a = 4.187 Å, b = 17.418 Å, c = 10.799 Å
α = 90.00°, β = 90.57°, γ = 90.00°
Sites, in units of the cell vectors:
Cd 0.000 0.000 0.000
Cd 0.000 0.500 0.500
H 0.170 0.024 0.705
H 0.170 0.476 0.205
H 0.174 0.686 0.546
H 0.174 0.814 0.046
H 0.221 0.718 0.220
H 0.221 0.782 0.720
H 0.779 0.218 0.280
H 0.779 0.282 0.780
H 0.826 0.186 0.954
H 0.826 0.314 0.454
H 0.830 0.524 0.795
H 0.830 0.976 0.295
C 0.075 0.138 0.629
C 0.075 0.362 0.129
C 0.086 0.082 0.722
C 0.086 0.418 0.222
C 0.108 0.671 0.641
C 0.108 0.829 0.141
C 0.129 0.725 0.737
C 0.129 0.775 0.237
C 0.871 0.225 0.763
C 0.871 0.275 0.263
C 0.892 0.171 0.859
C 0.892 0.329 0.359
C 0.914 0.582 0.778
C 0.914 0.918 0.278
C 0.925 0.638 0.871
C 0.925 0.862 0.371
I 0.245 0.110 0.450
I 0.245 0.390 0.950
I 0.491 0.087 0.137
I 0.491 0.413 0.637
I 0.509 0.587 0.363
I 0.509 0.913 0.863
I 0.755 0.610 0.050
I 0.755 0.890 0.550
N 0.005 0.600 0.663
N 0.005 0.900 0.163
N 0.037 0.708 0.852
N 0.037 0.792 0.352
N 0.963 0.208 0.648
N 0.963 0.292 0.148
N 0.995 0.100 0.837
N 0.995 0.400 0.337

Results
E (eV/cell): -267.36